A geometry-optimized SbAu2 structure. Source: Alexandria, functional PBE.

## Properties
The formation energy from raw total energies comes out at 0.33 eV per formula unit.

Unit cell a=6.445 b=6.445 c=6.445 alpha=150.94 beta=150.94 gamma=41.56
Positions (direct):
Sb 0.000 0.000 0.000
Au 0.327 0.327 0.000
Au 0.673 0.673 0.000

***

A geometry-optimized HoTmAlGe structure. Source: Alexandria, functional PBE.

## Properties
The calculation puts the calculated formation energy at -263 kJ/mol of formula units.

Unit cell a=3.987 b=5.803 c=5.803 alpha=43.72 beta=90.00 gamma=90.00
Positions (direct):
Ho 0.000 0.000 0.000
Tm 0.500 0.282 0.282
Al 0.000 0.717 0.717
Ge 0.500 0.562 0.562

***

A geometry-optimized SbTe2AsPt structure. Source: Alexandria, functional PBE.

## Properties
The formation energy from raw total energies comes out at 4.54 eV per formula unit.

Unit cell a=5.757 b=5.757 c=4.903 alpha=90.00 beta=90.00 gamma=90.00
Positions (direct):
Sb 0.000 0.000 0.000
Te 0.000 0.500 0.000
Te 0.500 0.000 0.000
As 0.500 0.500 0.500
Pt 0.000 0.000 0.500

***

A geometry-optimized TbZn6Pt4 structure. Source: Alexandria, functional PBE.

## Properties
The calculation puts the calculated formation energy at -514 kJ/mol of formula units.

Unit cell a=6.657 b=6.657 c=6.657 alpha=119.94 beta=119.94 gamma=90.11
Positions (direct):
Tb 0.000 0.000 0.000
Zn 0.000 0.500 0.500
Zn 0.130 0.467 0.000
Zn 0.467 0.130 0.000
Zn 0.500 0.000 0.500
Zn 0.533 0.533 0.663
Zn 0.870 0.870 0.337
Pt 0.234 0.234 0.621
Pt 0.387 0.766 0.000
Pt 0.613 0.613 0.379
Pt 0.766 0.387 0.000

***

Number 1: density of states at the Fermi level 0.303 states/eV/atom, spin magnetization 0.0 Bohr magnetons per cell. Number 2: density of states at the Fermi level 0.821 states/eV/atom, spin magnetization 0.0 Bohr magnetons per cell. Number 3: density of states at the Fermi level 0.979 states/eV/atom, spin magnetization 0.0 Bohr magnetons per cell. Number 4: density of states at the Fermi level 0.367 states/eV/atom, spin magnetization 0.0 Bohr magnetons per cell.